# U2TeH2I, optimized geometry, DFT PBE
data_U2TeH2I
_symmetry_space_group_name_H-M 'P -3 m 1'
_symmetry_Int_Tables_number 164
_symmetry_space_group_name_Hall '-P 3 2"'
_cell_length_a 3.8959
_cell_length_b 3.8959
_cell_length_c 9.3237
_cell_angle_alpha 90.00
_cell_angle_beta 90.00
_cell_angle_gamma 120.00
loop_
_atom_site_label
_atom_site_type_symbol
_atom_site_fract_x
_atom_site_fract_y
_atom_site_fract_z
U1 U 0.3333 0.6667 0.2307
Te1 Te 0.0000 0.0000 0.0000
H1 H 0.3333 0.6667 0.7452
I1 I 0.0000 0.0000 0.5000
# **ρ**: 9.93 g/cm3
# **Final energy**: -6.022 eV per atom